Here is crystalline UNi3As2 at its relaxed geometry from the Alexandria database. Energies are from PBE.

Geometry as POSCAR:
```
UNi3As2
1.0
3.753 0.000 1.033
0.775 6.214 4.517
-0.185 0.673 8.005
Ni As U
6 4 2
Direct
0.693 0.507 0.106
0.307 0.493 0.894
0.654 0.172 0.520
0.346 0.828 0.480
0.080 0.489 0.350
0.920 0.511 0.650
0.757 0.767 0.718
0.482 0.288 0.749
0.518 0.712 0.251
0.243 0.233 0.282
0.089 0.936 0.886
0.911 0.064 0.114
```

Values from the calculation:
energy of formation from the pure elements	-0.421	eV per atom
distance to the lowest polymorph of the same formula	0.0	meV per atom